Computed, not measured: crystalline Sm2Zn2Au3 at its relaxed geometry at the PBE level of DFT.

a b c (Å): 5.605 5.605 7.242
angles (deg): 110.33 110.33 43.93
Atoms (fractional coordinates):
Sm (0.133, 0.133, 0.262)
Sm (0.867, 0.867, 0.738)
Zn (0.153, 0.153, 0.707)
Zn (0.847, 0.847, 0.293)
Au (0.379, 0.379, 0.065)
Au (0.500, 0.500, 0.500)
Au (0.621, 0.621, 0.935)

Fermi-level density of states ... 4.9 states/eV/f.u.
Symmetry ... C2/m, No. 12
V ... 146.4 Å³ per cell
Energy above the most stable polymorph in this dataset ... 26.4 meV/atom
Total moment ... 0.00 μB/cell
Uncorrected energy ... -26.04 eV/cell
ΔE_f ... -0.603 eV/atom
ρ ... 11.6 g/cm3
Crystal system ... monoclinic